VASP calculation (GGA-PBE) on a geometry-optimized TlHgBiTe3 structure.

Summary:
Its total energy is -2.906 eV per atom. Its space group is Cmcm, No. 63.

Cell lengths 7.9064, 7.9064, 11.8756 Å; angles 90.00, 90.00, 146.37 degrees
Last column: nearest neighbours and their distance in Å.
Atoms (fractional coordinates):
1 Hg 0.0479 0.9521 0.2500  4 Te 2.83-2.96
2 Hg 0.9521 0.0479 0.7500  4 Te 2.83-2.96
3 Te 0.1428 0.8572 0.4558  1 Hg 2.83
4 Te 0.4234 0.5766 0.2500  2 Hg 2.96, 2 Bi 3.19
5 Te 0.5766 0.4234 0.7500  2 Hg 2.96, 2 Bi 3.19
6 Te 0.8572 0.1428 0.5442  1 Hg 2.83
7 Te 0.8572 0.1428 0.9558  1 Hg 2.83
8 Te 0.1428 0.8572 0.0442  1 Hg 2.83
9 Tl 0.7490 0.2510 0.2500  8 Te 3.49-3.86, 2 Hg 3.81
10 Tl 0.2510 0.7490 0.7500  8 Te 3.49-3.86, 2 Hg 3.81
11 Bi 0.5000 0.5000 0.5000  6 Te 3.19
12 Bi 0.5000 0.5000 0.0000  6 Te 3.19

---

VASP calculation (GGA-PBE) on a geometry-optimized Ta2HgW structure.

Summary:
Its total energy is -8.725 eV per atom. For the calculated formation energy, the calculation gives 199 kJ/mol of formula units. Its space group is F-43m, No. 216.

Cell lengths 4.6728, 4.6728, 4.6728 Å; angles 60.00, 60.00, 60.00 degrees
Last column: nearest neighbours and their distance in Å.
Atoms (fractional coordinates):
1 Ta 0.0000 0.0000 0.0000  4 W 2.86, 4 Ta 2.86
2 Ta 0.2500 0.2500 0.2500  4 Hg 2.86, 4 Ta 2.86
3 Hg 0.5000 0.5000 0.5000  4 Ta 2.86, 4 W 2.86
4 W 0.7500 0.7500 0.7500  4 Ta 2.86, 4 Hg 2.86

---

VASP calculation (GGA-PBE) on a geometry-optimized BaNaTcOs structure.

Summary:
Its total energy is -4.981 eV per atom. Its space group is F-43m, No. 216. For the energy relative to the lowest polymorph listed for this composition, the calculation gives 0.0225 eV per atom.

Cell lengths 4.9147, 4.9147, 4.9147 Å; angles 60.00, 60.00, 60.00 degrees
Last column: nearest neighbours and their distance in Å.
Atoms (fractional coordinates):
1 Tc 0.5000 0.5000 0.5000  4 Na 3.01, 4 Os 3.01
2 Ba 0.0000 0.0000 0.0000  4 Os 3.01, 4 Na 3.01
3 Os 0.2500 0.2500 0.2500  4 Ba 3.01, 4 Tc 3.01
4 Na 0.7500 0.7500 0.7500  4 Tc 3.01, 4 Ba 3.01

---

VASP calculation (GGA-PBE) on a geometry-optimized Tm3Mg3AgPt2 structure.

Summary:
Its total energy is -4.410 eV per atom. Its space group is P-62m, No. 189.

Cell lengths 7.4408, 7.4408, 3.9965 Å; angles 90.00, 90.00, 120.00 degrees
Last column: nearest neighbours and their distance in Å.
Atoms (fractional coordinates):
1 Ag 0.0000 0.0000 0.0000  6 Mg 2.75
2 Pt 0.3333 0.6667 0.5000  3 Mg 2.82, 6 Tm 2.99
3 Pt 0.6667 0.3333 0.5000  3 Mg 2.82, 6 Tm 2.99
4 Mg 0.2540 0.0000 0.5000  2 Ag 2.75, 2 Pt 2.82
5 Mg 0.0000 0.2540 0.5000  2 Ag 2.75, 2 Pt 2.82
6 Mg 0.7460 0.7460 0.5000  2 Ag 2.75, 2 Pt 2.82
7 Tm 0.0000 0.5796 0.0000  4 Pt 2.99, 1 Ag 3.13, 2 Mg 3.14
8 Tm 0.4204 0.4204 0.0000  4 Pt 2.99, 1 Ag 3.13, 2 Mg 3.14
9 Tm 0.5796 0.0000 0.0000  4 Pt 2.99, 1 Ag 3.13, 2 Mg 3.14